Entry 1:
A relaxed Cd2AgMo crystal. Source: the Alexandria database, functional PBE.

Results
energy above the lowest structure with this stoichiometry = 246 meV/atom
crystal system = orthorhombic
space group = Immm, No. 71
density = 9.4 g/cm³
size of the total moment = 0.163 μB/atom
energy of formation from the pure elements = 476 meV/atom

```
Cd2AgMo
1.0
-1.429 2.604 5.067
1.429 -2.604 5.067
1.429 2.604 -5.067
Cd Ag Mo
2 1 1
direct
0.245 0.245 0.000 Cd
0.755 0.755 0.000 Cd
0.000 0.500 0.500 Ag
0.500 0.000 0.500 Mo
```


Entry 2:
A relaxed AlInSi crystal. Source: the Alexandria database, functional PBE.

Results
energy above the lowest structure with this stoichiometry = 89 meV/atom
crystal system = trigonal
space group = P3m1, No. 156
density = 4.7 g/cm³
size of the total moment = 0.000 μB/atom
energy relative to the elements, uncorrected = 346 meV/atom

```
AlInSi
1.0
3.095 0.000 0.000
-1.548 2.681 0.000
0.000 0.000 7.204
Al In Si
1 1 1
direct
0.000 0.000 0.000 Al
0.667 0.333 0.366 In
0.333 0.667 0.725 Si
```


Entry 3:
A relaxed LiHg2Ru crystal. Source: the Alexandria database, functional PBE.

Results
energy above the lowest structure with this stoichiometry = 288 meV/atom
crystal system = cubic
space group = F-43m, No. 216
density = 12.1 g/cm³
size of the total moment = 0.000 μB/atom
energy of formation from the pure elements = 347 meV/atom

```
LiHg2Ru
1.0
0.000 3.266 3.266
3.266 0.000 3.266
3.266 3.266 0.000
Li Hg Ru
1 2 1
direct
0.000 0.000 0.000 Li
0.250 0.250 0.250 Hg
0.500 0.500 0.500 Hg
0.750 0.750 0.750 Ru
```


Entry 4:
A relaxed AcErGa2Pt2 crystal. Source: the Alexandria database, functional PBE.

Results
crystal system = trigonal
space group = P-3m1, No. 164
density = 11.6 g/cm³
size of the total moment = 0.000 μB/atom
energy of formation from the pure elements = -1050 meV/atom

```
AcErGa2Pt2
1.0
4.530 0.000 0.000
-2.265 3.923 0.000
0.000 0.000 7.434
Ac Er Ga Pt
1 1 2 2
direct
0.000 0.000 0.000 Ac
0.000 0.000 0.500 Er
0.333 0.667 0.704 Ga
0.667 0.333 0.296 Ga
0.333 0.667 0.292 Pt
0.667 0.333 0.708 Pt
```


Entry 5:
A relaxed KYRe2 crystal. Source: the Alexandria database, functional PBE.

Results
energy above the lowest structure with this stoichiometry = 705 meV/atom
crystal system = orthorhombic
space group = Immm, No. 71
density = 10.6 g/cm³
size of the total moment = 0.000 μB/atom
energy of formation from the pure elements = 1227 meV/atom

```
KYRe2
1.0
-1.753 2.133 5.226
1.753 -2.133 5.226
1.753 2.133 -5.226
K Y Re
1 1 2
direct
0.000 0.000 0.000 K
0.500 0.500 0.000 Y
0.253 0.753 0.500 Re
0.747 0.247 0.500 Re
```


Entry 6:
A relaxed PrNdSm2Dy5 crystal. Source: the Alexandria database, functional PBE.

Results
crystal system = tetragonal
space group = I4/mcm, No. 140
density = 7.8 g/cm³
size of the total moment = 0.000 μB/atom
energy of formation from the pure elements = 256 meV/atom

```
PrNdSm2Dy5
1.0
-4.385 4.385 7.753
4.385 -4.385 7.753
4.385 4.385 -7.753
Pr Nd Sm Dy
2 2 4 10
direct
0.250 0.250 0.000 Pr
0.750 0.750 0.000 Pr
0.250 0.750 0.500 Nd
0.750 0.250 0.500 Nd
0.117 0.617 0.734 Sm
0.383 0.117 0.500 Sm
0.617 0.883 0.500 Sm
0.883 0.383 0.266 Sm
0.000 0.000 0.000 Dy
0.071 0.158 0.500 Dy
0.158 0.658 0.087 Dy
0.342 0.429 0.500 Dy
0.429 0.929 0.087 Dy
0.500 0.500 0.000 Dy
0.571 0.071 0.913 Dy
0.658 0.571 0.500 Dy
0.842 0.342 0.913 Dy
0.929 0.842 0.500 Dy
```


Entry 7:
A relaxed Nd5Sm4Sc2 crystal. Source: the Alexandria database, functional PBE.

Results
energy above the lowest structure with this stoichiometry = 0 meV/atom
crystal system = triclinic
space group = P-1, No. 2
density = 6.5 g/cm³
size of the total moment = 0.000 μB/atom
energy of formation from the pure elements = 75 meV/atom

```
Nd5Sm4Sc2
1.0
3.561 0.000 0.000
-0.008 8.799 0.000
-1.710 -0.742 11.556
Nd Sm Sc
5 4 2
direct
0.000 0.000 0.000 Nd
0.321 0.525 0.632 Nd
0.378 0.890 0.742 Nd
0.622 0.110 0.258 Nd
0.679 0.475 0.368 Nd
0.202 0.831 0.421 Sm
0.430 0.286 0.853 Sm
0.570 0.714 0.147 Sm
0.798 0.169 0.579 Sm
0.052 0.379 0.107 Sc
0.948 0.621 0.893 Sc
```


Entry 8:
A relaxed Nd6DyTm2Th crystal. Source: the Alexandria database, functional PBE.

Results
crystal system = monoclinic
space group = C2/c, No. 15
density = 7.8 g/cm³
size of the total moment = 0.000 μB/atom
energy of formation from the pure elements = 142 meV/atom

```
Nd6DyTm2Th
1.0
4.695 -7.523 0.000
4.695 7.523 0.000
-1.253 0.000 9.602
Nd Dy Tm Th
12 2 4 2
direct
0.008 0.573 0.188 Nd
0.109 0.763 0.558 Nd
0.237 0.891 0.942 Nd
0.297 0.514 0.382 Nd
0.427 0.992 0.312 Nd
0.486 0.703 0.118 Nd
0.514 0.297 0.882 Nd
0.573 0.008 0.688 Nd
0.703 0.486 0.618 Nd
0.763 0.109 0.058 Nd
0.891 0.237 0.442 Nd
0.992 0.427 0.812 Nd
0.409 0.591 0.750 Dy
0.591 0.409 0.250 Dy
0.201 0.292 0.052 Tm
0.292 0.201 0.552 Tm
0.708 0.799 0.448 Tm
0.799 0.708 0.948 Tm
0.031 0.969 0.250 Th
0.969 0.031 0.750 Th
```


Entry 9:
A relaxed Sr2HfSe4 crystal. Source: the Alexandria database, functional PBE.

Results
energy above the lowest structure with this stoichiometry = 62 meV/atom
crystal system = monoclinic
space group = P2_1/m, No. 11
density = 5.1 g/cm³
size of the total moment = 0.000 μB/atom
energy relative to the elements, uncorrected = -1655 meV/atom

```
Sr2HfSe4
1.0
7.298 0.000 0.000
0.000 7.280 0.000
-2.640 0.000 8.246
Sr Hf Se
4 2 8
direct
0.210 0.250 0.051 Sr
0.248 0.250 0.562 Sr
0.752 0.750 0.438 Sr
0.790 0.750 0.949 Sr
0.246 0.750 0.807 Hf
0.754 0.250 0.193 Hf
0.003 0.007 0.743 Se
0.003 0.493 0.743 Se
0.437 0.750 0.099 Se
0.446 0.750 0.620 Se
0.554 0.250 0.380 Se
0.563 0.250 0.901 Se
0.997 0.507 0.257 Se
0.997 0.993 0.257 Se
```


Entry 10:
A relaxed Pr8Ir2Rh crystal. Source: the Alexandria database, functional PBE.

Results
energy above the lowest structure with this stoichiometry = 0 meV/atom
crystal system = monoclinic
space group = C2/m, No. 12
density = 8.4 g/cm³
size of the total moment = 0.000 μB/atom
energy of formation from the pure elements = -368 meV/atom

```
Pr8Ir2Rh
1.0
9.011 -2.538 0.000
9.011 2.538 0.000
-0.937 0.000 7.008
Pr Ir Rh
8 2 1
direct
0.038 0.038 0.278 Pr
0.203 0.203 0.841 Pr
0.334 0.334 0.537 Pr
0.412 0.412 0.068 Pr
0.588 0.588 0.932 Pr
0.666 0.666 0.463 Pr
0.797 0.797 0.159 Pr
0.962 0.962 0.722 Pr
0.207 0.207 0.242 Ir
0.793 0.793 0.758 Ir
0.500 0.500 0.500 Rh
```


Entry 11:
A relaxed LiSm2SnTe4 crystal. Source: the Alexandria database, functional PBE.

Results
crystal system = monoclinic
space group = P2/m, No. 10
density = 6.3 g/cm³
size of the total moment = 0.000 μB/atom
energy relative to the elements, uncorrected = -1027 meV/atom

```
LiSm2SnTe4
1.0
7.588 0.000 0.000
0.000 4.397 0.000
-2.521 0.000 7.454
Li Sm Sn Te
1 2 1 4
direct
0.000 0.000 0.000 Li
0.000 0.500 0.500 Sm
0.500 0.000 0.500 Sm
0.500 0.500 0.000 Sn
0.244 0.500 0.245 Te
0.245 0.000 0.755 Te
0.755 0.000 0.245 Te
0.756 0.500 0.755 Te
```